No. 1
Compound: MnCu3Pd2
Source: the Alexandria database
Functional: GGA-PBE
Structure: optimized geometry

Lattice parameters (Å, degrees): 4.7146 4.7146 8.4229 101.08 101.08 111.56
Each line ends with the local moment (μB).
Fractional positions:
Mn (0.1231, 0.8769, 0.2500)  3.81
Mn (0.8769, 0.1231, 0.7500)  3.81
Cu (0.2131, 0.4642, 0.4282)  0.04
Cu (0.5358, 0.7869, 0.0718)  0.04
Cu (0.7869, 0.5358, 0.5718)  0.04
Cu (0.4642, 0.2131, 0.9282)  0.04
Cu (0.6293, 0.3707, 0.2500)  0.06
Cu (0.3707, 0.6293, 0.7500)  0.06
Pd (0.0520, 0.3001, 0.0957)  0.11
Pd (0.6999, 0.9480, 0.4043)  0.11
Pd (0.9480, 0.6999, 0.9043)  0.11
Pd (0.3001, 0.0520, 0.5957)  0.11

The polymorph energy (0 for the lowest one) is 0.0 meV/atom. The value obtained for the formation energy is -63 kJ/mol of formula units. The space group is C2/c.

No. 2
Compound: Ac3ZrS7
Source: the Alexandria database
Functional: GGA-PBE
Structure: optimized geometry

Lattice parameters (Å, degrees): 8.2758 8.2758 9.7420 90.00 90.00 110.17
Fractional positions:
Ac (0.4996, 0.4996, 0.5000)
Ac (0.5004, 0.5004, 0.0000)
Ac (0.5504, 0.9948, 0.2501)
Ac (0.4496, 0.0052, 0.7501)
Ac (0.9948, 0.5504, 0.7499)
Ac (0.0052, 0.4496, 0.2499)
Zr (0.0001, 0.0001, 0.5000)
Zr (0.9999, 0.9999, 0.0000)
S (0.6719, 0.9188, 0.5329)
S (0.3281, 0.0812, 0.0329)
S (0.9188, 0.6719, 0.4671)
S (0.0812, 0.3281, 0.9671)
S (0.0814, 0.3283, 0.5328)
S (0.9186, 0.6717, 0.0328)
S (0.3283, 0.0814, 0.4672)
S (0.6717, 0.9186, 0.9672)
S (0.3726, 0.6274, 0.2500)
S (0.6274, 0.3726, 0.7500)
S (0.6321, 0.3679, 0.2500)
S (0.3679, 0.6321, 0.7500)
S (0.9377, 0.0623, 0.2500)
S (0.0623, 0.9377, 0.7500)

The value obtained for the uncorrected formation energy is -19.97 eV/f.u. The space group is Cmcm.

No. 3
Compound: LiFe2Ir
Source: the Alexandria database
Functional: GGA-PBE
Structure: optimized geometry

Lattice parameters (Å, degrees): 3.6943 3.6846 3.6846 90.00 90.00 90.00
Each line ends with the local moment (μB).
Fractional positions:
Fe (0.0000, 0.0000, 0.0000)  2.66
Fe (0.0000, 0.5000, 0.5000)  2.66
Ir (0.5000, 0.5000, 0.0000)  0.47
Li (0.5000, 0.0000, 0.5000)  -0.06

The value obtained for the formation energy is 25 kJ/mol of formula units. The space group is P4/mmm.

No. 4
Compound: DyYZnCu
Source: the Alexandria database
Functional: GGA-PBE
Structure: optimized geometry

Lattice parameters (Å, degrees): 3.5202 3.5202 7.0701 90.00 90.00 90.00
Fractional positions:
Dy (0.5000, 0.5000, 0.1144)
Y (0.5000, 0.5000, 0.6011)
Zn (0.0000, 0.0000, 0.8595)
Cu (0.0000, 0.0000, 0.3529)

The polymorph energy (0 for the lowest one) is 0.0 meV/atom. The value obtained for the formation energy is -115 kJ/mol of formula units. The space group is P4mm.

No. 5
Compound: YHo2Er2Tm
Source: the Alexandria database
Functional: GGA-PBE
Structure: optimized geometry

Lattice parameters (Å, degrees): 3.4627 15.9890 6.9057 90.00 90.00 90.00
Fractional positions:
Y (0.5000, 0.5000, 0.0000)
Y (0.0000, 0.0000, 0.5000)
Ho (0.5000, 0.8432, 0.2491)
Ho (0.5000, 0.1568, 0.7509)
Ho (0.0000, 0.6568, 0.7491)
Ho (0.0000, 0.3432, 0.2509)
Er (0.5000, 0.1554, 0.2494)
Er (0.0000, 0.6554, 0.2506)
Er (0.5000, 0.8446, 0.7506)
Er (0.0000, 0.3446, 0.7494)
Tm (0.0000, 0.0000, 0.0000)
Tm (0.5000, 0.5000, 0.5000)

The value obtained for the formation energy is 96 kJ/mol of formula units. The space group is Pnnm.

No. 6
Compound: Sr3ScN
Source: the Alexandria database
Functional: GGA-PBE
Structure: optimized geometry

Lattice parameters (Å, degrees): 5.3998 5.3998 5.3998 90.00 90.00 90.00
Fractional positions:
Sc (0.5000, 0.5000, 0.5000)
Sr (0.0000, 0.5000, 0.0000)
Sr (0.0000, 0.0000, 0.5000)
Sr (0.5000, 0.0000, 0.0000)
N (0.0000, 0.0000, 0.0000)

The polymorph energy (0 for the lowest one) is 0.0 meV/atom. The value obtained for the uncorrected formation energy is 0.09 eV/f.u. The space group is Pm-3m.

No. 7
Compound: Ta2Cd2Au
Source: the Alexandria database
Functional: GGA-PBE
Structure: optimized geometry

Lattice parameters (Å, degrees): 6.9232 6.9232 4.1197 90.00 90.00 90.00
Fractional positions:
Cd (0.3585, 0.8585, 0.0000)
Cd (0.8585, 0.6415, 0.0000)
Cd (0.6415, 0.1415, 0.0000)
Cd (0.1415, 0.3585, 0.0000)
Au (0.0000, 0.0000, 0.0000)
Au (0.5000, 0.5000, 0.0000)
Ta (0.1532, 0.6532, 0.5000)
Ta (0.6532, 0.8468, 0.5000)
Ta (0.8468, 0.3468, 0.5000)
Ta (0.3468, 0.1532, 0.5000)

The polymorph energy (0 for the lowest one) is 112.9 meV/atom. The value obtained for the formation energy is 317 kJ/mol of formula units. The space group is P4/mbm.

No. 8
Compound: NpBe3H9
Source: the Alexandria database
Functional: GGA-PBE
Structure: optimized geometry

Lattice parameters (Å, degrees): 6.2679 6.2679 6.5822 90.00 90.00 106.58
Each line ends with the local moment (μB).
Fractional positions:
Np (0.6576, 0.6576, 0.0000)  3.92
Np (0.3424, 0.3424, 0.5000)  3.92
Be (0.1912, 0.8475, 0.0566)  -0.01
Be (0.8088, 0.1525, 0.5566)  -0.01
Be (0.8475, 0.1912, 0.9434)  -0.01
Be (0.1525, 0.8088, 0.4434)  -0.01
Be (0.2557, 0.2557, 0.0000)  -0.01
Be (0.7443, 0.7443, 0.5000)  -0.01
H (0.2783, 0.0467, 0.9366)  0.00
H (0.7217, 0.9533, 0.4366)  0.00
H (0.0467, 0.2783, 0.0634)  0.00
H (0.9533, 0.7217, 0.5634)  0.00
H (0.3585, 0.4137, 0.8424)  -0.01
H (0.6415, 0.5863, 0.3424)  -0.01
H (0.4137, 0.3585, 0.1576)  -0.01
H (0.5863, 0.6415, 0.6576)  -0.01
H (0.2661, 0.6477, 0.4295)  -0.01
H (0.7339, 0.3523, 0.9295)  -0.01
H (0.6477, 0.2661, 0.5705)  -0.01
H (0.3523, 0.7339, 0.0705)  -0.01
H (0.2887, 0.9868, 0.5557)  -0.01
H (0.7113, 0.0132, 0.0557)  -0.01
H (0.9868, 0.2887, 0.4443)  -0.01
H (0.0132, 0.7113, 0.9443)  -0.01
H (0.0980, 0.9020, 0.2500)  0.00
H (0.9020, 0.0980, 0.7500)  0.00

The space group is C222_1.

No. 9
Compound: LaNbIr
Source: the Alexandria database
Functional: GGA-PBE
Structure: optimized geometry

Lattice parameters (Å, degrees): 4.6163 4.6163 6.7511 90.00 90.00 90.00
Fractional positions:
La (0.0000, 0.5000, 0.8718)
La (0.5000, 0.0000, 0.1282)
Ir (0.0000, 0.5000, 0.3199)
Ir (0.5000, 0.0000, 0.6801)
Nb (0.5000, 0.5000, 0.5000)
Nb (0.0000, 0.0000, 0.5000)

The value obtained for the formation energy is -135 kJ/mol of formula units. The space group is P4/nmm.

No. 10
Compound: Pm2Ta2Ni15
Source: the Alexandria database
Functional: GGA-PBE
Structure: optimized geometry

Lattice parameters (Å, degrees): 6.4147 6.4147 6.4147 82.01 82.01 82.01
Fractional positions:
Pm (0.3504, 0.3504, 0.3504)
Pm (0.6496, 0.6496, 0.6496)
Ta (0.1028, 0.1028, 0.1028)
Ta (0.8972, 0.8972, 0.8972)
Ni (0.5000, 0.0000, 0.0000)
Ni (0.0000, 0.0000, 0.5000)
Ni (0.0000, 0.5000, 0.0000)
Ni (0.0000, 0.7040, 0.2960)
Ni (0.7040, 0.2960, 0.0000)
Ni (0.2960, 0.0000, 0.7040)
Ni (0.2960, 0.7040, 0.0000)
Ni (0.7040, 0.0000, 0.2960)
Ni (0.0000, 0.2960, 0.7040)
Ni (0.1545, 0.6565, 0.6565)
Ni (0.6565, 0.6565, 0.1545)
Ni (0.6565, 0.1545, 0.6565)
Ni (0.8455, 0.3435, 0.3435)
Ni (0.3435, 0.3435, 0.8455)
Ni (0.3435, 0.8455, 0.3435)

The value obtained for the formation energy is -444 kJ/mol of formula units. The space group is R-3m.

Number 1: E_tot -5.416 eV per atom. Number 2: E_tot -6.339 eV per atom. Number 3: E_tot -6.860 eV per atom. Number 4: E_tot -4.406 eV per atom. Number 5: E_tot -4.703 eV per atom. Number 6: E_tot -3.923 eV per atom. Number 7: E_tot -5.106 eV per atom. Number 8: E_tot -4.185 eV per atom. Number 9: E_tot -8.420 eV per atom. Number 10: E_tot -6.554 eV per atom.